[1]
The following is a PBE calculation of crystalline SrCr3H at its relaxed geometry, from the Alexandria database.

Summary:
Its crystal system is cubic. The value obtained for the excess energy over the best structure of this formula in the dataset is 1.609 eV/atom.

Unit cell a=6.1371 b=6.1371 c=6.1371 alpha=90.00 beta=90.00 gamma=90.00
Last column: magnetic moment on the atom in μB.
Atoms (fractional coordinates):
Cr 0.0000 0.0000 0.5000  4.27
H 0.5000 0.5000 0.5000  0.21
Sr 0.0000 0.0000 0.0000  0.24
Cr 0.5000 0.0000 0.0000  4.45
Cr 0.0000 0.5000 0.0000  4.40

[2]
The following is a PBE calculation of crystalline SrCrH5 at its relaxed geometry, from the Alexandria database.

Summary:
Its crystal system is tetragonal.

Unit cell a=3.2617 b=3.2617 c=6.3427 alpha=90.00 beta=90.00 gamma=90.00
Last column: magnetic moment on the atom in μB.
Atoms (fractional coordinates):
Cr 0.0000 0.0000 0.5000  3.00
Sr 0.0000 0.0000 0.0000  0.01
H 0.5000 0.0000 0.6558  -0.04
H 0.0000 0.5000 0.6558  -0.04
H 0.5000 0.5000 0.0000  0.00
H 0.5000 0.0000 0.3442  -0.04
H 0.0000 0.5000 0.3442  -0.04

For each record above, in turn, the calculated electronic total energy values are -4.220; -3.999 eV/atom.